VASP calculation (PBE) on an optimized crystal structure of NiHg2SbCl.

Output
Energy   -11.475 eV/cell
Uncorrected formation energy   0.18 eV/atom
Magnetic moment   0.0 μB/cell

Lattice parameters (Å, degrees): 5.3410 5.3410 4.2124 90.00 90.00 90.00
Sites, in units of the cell vectors:
Ni  0.0000  0.0000  0.0000
Hg  0.0000  0.5000  0.0000
Hg  0.5000  0.0000  0.0000
Sb  0.5000  0.5000  0.5000
Cl  0.0000  0.0000  0.5000

---

VASP calculation (PBE) on an optimized crystal structure of TlFeRe.

Output
Energy   -21.176 eV/cell
ΔH_f (0 K)   700 meV/atom
Magnetic moment   1.9 μB/cell

Lattice parameters (Å, degrees): 2.9250 2.9250 6.7580 90.00 90.00 120.00
Sites, in units of the cell vectors:
Tl  0.0000  0.0000  0.0000
Fe  0.3333  0.6667  0.3485
Re  0.6667  0.3333  0.6221

---

VASP calculation (PBE) on an optimized crystal structure of Sn3TeP.

Output
Polymorph energy (0 for the lowest one)   0.0 meV/atom
Energy   -19.036 eV/cell
Uncorrected formation energy   0.30 eV/atom
Magnetic moment   0.0 μB/cell

Lattice parameters (Å, degrees): 5.3293 5.3293 5.3293 90.00 90.00 90.00
Sites, in units of the cell vectors:
Sn  0.0000  0.0000  0.5000
Sn  0.0000  0.5000  0.0000
Sn  0.5000  0.0000  0.0000
Te  0.5000  0.5000  0.5000
P  0.0000  0.0000  0.0000

---

VASP calculation (PBE) on an optimized crystal structure of Cs3BiAs2O8.

Output
Energy   -76.934 eV/cell
Uncorrected formation energy   -1.54 eV/atom
Magnetic moment   0.0 μB/cell

Lattice parameters (Å, degrees): 6.1217 6.1217 8.8668 90.00 90.00 120.00
Sites, in units of the cell vectors:
Cs  0.0000  0.0000  0.0000
Cs  0.3333  0.6667  0.7592
Cs  0.6667  0.3333  0.2408
Bi  0.0000  0.0000  0.5000
As  0.3333  0.6667  0.2783
As  0.6667  0.3333  0.7217
O  0.1776  0.3552  0.3406
O  0.1776  0.8224  0.3406
O  0.3333  0.6667  0.0870
O  0.3552  0.1776  0.6594
O  0.6448  0.8224  0.3406
O  0.6667  0.3333  0.9130
O  0.8224  0.1776  0.6594
O  0.8224  0.6448  0.6594